Entry 1:
VASP calculation (PBE) on crystalline PrNdTm3 at its relaxed geometry.

```
PrNdTm3
1.0
-6.224 -0.856 -1.679
-1.545 -6.039 9.736
2.665 5.998 -0.111
Tm Pr Nd
6 2 2
Direct
0.115 0.187 0.673
0.314 0.813 0.177
0.707 0.547 0.393
0.885 0.813 0.327
0.293 0.453 0.607
0.686 0.187 0.823
0.000 0.000 0.000
0.000 0.500 0.000
0.541 0.194 0.250
0.459 0.806 0.750
```

## Properties
ΔH_f (0 K), eV per atom: 0.19
Calculated density, g/cm³: 8.1
E_tot, eV for the cell shown: -44.05
Spin magnetization, μB/cell: 0.00
N(E_F), states/eV/f.u.: 6.82

---

Entry 2:
VASP calculation (PBE) on crystalline GdPuZnPb at its relaxed geometry.

```
GdPuZnPb
1.0
-1.354 -5.128 -0.286
0.342 -2.583 -4.628
3.744 -3.700 -0.706
Pu Gd Pb Zn
1 1 1 1
Direct
0.750 0.750 0.750
0.250 0.250 0.250
0.500 0.500 0.500
0.000 0.000 0.000
```

## Properties
ΔH_f (0 K), eV per atom: -0.19
Calculated density, g/cm³: 10.6
E_tot, eV for the cell shown: -34.16
Spin magnetization, μB/cell: 0.91
N(E_F), states/eV/f.u.: 9.93

---

Entry 3:
VASP calculation (PBE) on crystalline Sc3Co5B2 at its relaxed geometry.

```
Sc3Co5B2
1.0
2.993 0.000 0.000
0.000 8.961 0.000
0.000 0.000 8.961
Co B Sc
10 4 6
Direct
0.500 0.731 0.430
0.500 0.930 0.231
0.500 0.570 0.731
0.500 0.500 0.000
0.500 0.000 0.500
0.500 0.269 0.570
0.500 0.769 0.930
0.500 0.430 0.269
0.500 0.070 0.769
0.500 0.231 0.070
0.000 0.620 0.880
0.000 0.120 0.620
0.000 0.380 0.120
0.000 0.880 0.380
0.000 0.175 0.325
0.000 0.325 0.825
0.000 0.675 0.175
0.000 0.825 0.675
0.000 0.500 0.500
0.000 0.000 0.000
```

## Properties
ΔH_f (0 K), eV per atom: -0.51
Calculated density, g/cm³: 6.2
E_tot, eV for the cell shown: -145.87
Spin magnetization, μB/cell: 0.00
N(E_F), states/eV/f.u.: 4.69

---

Entry 4:
VASP calculation (PBE) on crystalline AcTlAgI5 at its relaxed geometry.

```
AcTlAgI5
1.0
0.065 7.812 3.864
-8.269 -2.275 -1.549
3.214 -7.331 8.710
Tl I Ag Ac
2 10 2 2
Direct
0.621 0.379 0.750
0.379 0.621 0.250
0.263 0.394 0.553
0.103 0.897 0.250
0.606 0.737 0.947
0.660 0.054 0.364
0.054 0.660 0.864
0.897 0.103 0.750
0.737 0.606 0.447
0.394 0.263 0.053
0.946 0.340 0.136
0.340 0.946 0.636
0.689 0.311 0.250
0.311 0.689 0.750
0.000 0.000 0.500
0.000 0.000 0.000
```

## Properties
Calculated density, g/cm³: 5.0
E_tot, eV for the cell shown: -49.69
Spin magnetization, μB/cell: 0.00
N(E_F), states/eV/f.u.: 0.00

---

Entry 5:
VASP calculation (PBE) on crystalline Pr3Nd4SmSe8 at its relaxed geometry.

```
Pr3Nd4SmSe8
1.0
8.482 0.000 0.000
0.000 8.472 -0.006
-4.241 -4.232 5.997
Sm Se Pr Nd
1 8 3 4
Direct
0.000 0.500 0.000
0.248 0.750 0.496
0.752 0.250 0.998
0.752 0.250 0.504
0.248 0.750 0.002
0.751 0.753 0.502
0.754 0.750 0.002
0.246 0.250 0.998
0.249 0.247 0.498
0.500 0.500 0.500
0.000 0.500 0.500
0.500 0.500 0.000
0.500 0.000 0.500
0.000 0.000 0.500
0.500 0.000 0.000
0.000 0.000 0.000
```

## Properties
Calculated density, g/cm³: 6.9
E_tot, eV for the cell shown: -95.31
Spin magnetization, μB/cell: 0.00
N(E_F), states/eV/f.u.: 11.31

---

Entry 6:
VASP calculation (PBE) on crystalline AcNdBi at its relaxed geometry.

```
AcNdBi
1.0
-3.131 -2.053 2.113
2.937 -2.416 2.004
0.407 6.131 2.185
Ac Nd Bi
1 1 1
Direct
0.276 0.276 0.553
0.972 0.972 0.945
0.601 0.601 0.203
```

## Properties
ΔH_f (0 K), eV per atom: -0.50
Calculated density, g/cm³: 9.0
E_tot, eV for the cell shown: -14.26
Spin magnetization, μB/cell: 0.01
N(E_F), states/eV/f.u.: 3.91

---

Entry 7:
VASP calculation (PBE) on crystalline Ti2BeSnRh at its relaxed geometry.

```
Ti2BeSnRh
1.0
4.722 0.000 0.000
0.000 4.280 0.000
0.000 0.000 4.722
Be Ti Rh Sn
1 2 1 1
Direct
0.000 0.500 0.000
0.000 0.000 0.500
0.500 0.000 0.000
0.000 0.000 0.000
0.500 0.500 0.500
```

## Properties
ΔH_f (0 K), eV per atom: 0.15
Calculated density, g/cm³: 5.7
E_tot, eV for the cell shown: -30.10
Spin magnetization, μB/cell: 0.00
N(E_F), states/eV/f.u.: 5.32

---

Entry 8:
VASP calculation (PBE) on crystalline TiAlB4 at its relaxed geometry.

```
TiAlB4
1.0
0.468 -0.912 2.834
4.039 -1.858 0.352
2.730 2.847 2.082
B Al Ti
4 1 1
Direct
0.749 0.584 0.917
0.251 0.083 0.416
0.251 0.416 0.083
0.749 0.917 0.584
0.500 0.500 0.500
0.000 0.000 0.000
```

## Properties
ΔH_f (0 K), eV per atom: -0.50
Calculated density, g/cm³: 3.8
E_tot, eV for the cell shown: -41.34
Spin magnetization, μB/cell: 0.00
N(E_F), states/eV/f.u.: 1.33

---

Q: Which value of calculated density does entry 2 give?
A: 10.6 g/cm³

---

What did the fifth record say?
VASP calculation (PBE) on crystalline Pr3Nd4SmSe8 at its relaxed geometry.

```
Pr3Nd4SmSe8
1.0
8.482 0.000 0.000
0.000 8.472 -0.006
-4.241 -4.232 5.997
Sm Se Pr Nd
1 8 3 4
Direct
0.000 0.500 0.000
0.248 0.750 0.496
0.752 0.250 0.998
0.752 0.250 0.504
0.248 0.750 0.002
0.751 0.753 0.502
0.754 0.750 0.002
0.246 0.250 0.998
0.249 0.247 0.498
0.500 0.500 0.500
0.000 0.500 0.500
0.500 0.500 0.000
0.500 0.000 0.500
0.000 0.000 0.500
0.500 0.000 0.000
0.000 0.000 0.000
```

## Properties
Calculated density, g/cm³: 6.9
E_tot, eV for the cell shown: -95.31
Spin magnetization, μB/cell: 0.00
N(E_F), states/eV/f.u.: 11.31